Entry from Alexandria via LeMat-Bulk: an optimized crystal structure of MnFe2ReO6 (GGA+U).

Values from the calculation:
M_tot in μB per formula unit: 0.0
Space-group type: P1
DFT total energy in Ry per atom: -0.543

```
MnFe2ReO6
1.0
5.221 0.000 0.000
2.591 4.603 0.000
0.060 2.988 4.714
Mn Fe Re O
1 2 1 6
Cartesian
0.000 0.000 0.000
2.667 4.554 4.155
5.249 3.110 1.707
2.656 1.498 2.270
1.886 2.873 0.963
3.639 6.169 3.225
4.448 4.844 0.919
3.597 2.924 3.184
4.116 1.527 0.923
6.043 4.649 3.194
```